{
  "formula": "Pr2YZr",
  "functional": "PBE-GGA",
  "state": "optimized geometry",
  "lattice": [[-0.433, -1.857, -2.975], [-1.609, -3.145, 0.099], [-10.847, 3.481, -2.693]],
  "species": ["Pr", "Pr", "Y", "Zr"],
  "frac_coords": [[0.079, 0.079, 0.764], [0.255, 0.255, 0.235], [0.499, 0.499, 0.503], [0.667, 0.667, 0.998]],
  "sg": "R3m (160)"
}

{
  "formula": "Pr12Y5Zr3",
  "functional": "PBE-GGA",
  "state": "optimized geometry",
  "lattice": [[16.073, 0.000, 0.000], [-5.358, 15.154, 0.000], [-5.358, -7.577, 13.124]],
  "species": ["Zr", "Zr", "Zr", "Zr", "Zr", "Zr", "Zr", "Zr", "Zr", "Zr", "Zr", "Zr", "Y", "Y", "Y", "Y", "Y", "Y", "Y", "Y", "Y", "Y", "Y", "Y", "Y", "Y", "Y", "Y", "Y", "Y", "Y", "Y", "Pr", "Pr", "Pr", "Pr", "Pr", "Pr", "Pr", "Pr", "Pr", "Pr", "Pr", "Pr", "Pr", "Pr", "Pr", "Pr", "Pr", "Pr", "Pr", "Pr", "Pr", "Pr", "Pr", "Pr", "Pr", "Pr", "Pr", "Pr", "Pr", "Pr", "Pr", "Pr", "Pr", "Pr", "Pr", "Pr", "Pr", "Pr", "Pr", "Pr", "Pr", "Pr", "Pr", "Pr", "Pr", "Pr", "Pr", "Pr"],
  "frac_coords": [[0.750, 0.375, 0.125], [0.875, 0.750, 0.125], [0.375, 0.750, 0.625], [0.250, 0.125, 0.375], [0.875, 0.125, 0.250], [0.375, 0.625, 0.250], [0.625, 0.375, 0.750], [0.125, 0.875, 0.750], [0.750, 0.875, 0.625], [0.625, 0.250, 0.375], [0.125, 0.250, 0.875], [0.250, 0.625, 0.875], [0.125, 0.375, 0.250], [0.000, 0.500, 0.000], [0.000, 0.000, 0.000], [0.375, 0.250, 0.125], [0.500, 0.000, 0.500], [0.500, 0.500, 0.000], [0.125, 0.750, 0.375], [0.750, 0.125, 0.875], [0.750, 0.625, 0.375], [0.375, 0.125, 0.750], [0.625, 0.875, 0.250], [0.500, 0.500, 0.500], [0.500, 0.000, 0.000], [0.000, 0.000, 0.500], [0.250, 0.375, 0.625], [0.250, 0.875, 0.125], [0.000, 0.500, 0.500], [0.875, 0.250, 0.625], [0.625, 0.750, 0.875], [0.875, 0.625, 0.750], [0.737, 0.134, 0.076], [0.339, 0.576, 0.442], [0.924, 0.366, 0.263], [0.576, 0.237, 0.134], [0.604, 0.737, 0.661], [0.924, 0.558, 0.161], [0.339, 0.763, 0.396], [0.058, 0.896, 0.134], [0.558, 0.924, 0.661], [0.737, 0.604, 0.161], [0.763, 0.424, 0.366], [0.839, 0.942, 0.076], [0.134, 0.737, 0.576], [0.366, 0.442, 0.104], [0.104, 0.942, 0.366], [0.396, 0.134, 0.558], [0.104, 0.161, 0.237], [0.424, 0.661, 0.058], [0.839, 0.896, 0.263], [0.134, 0.396, 0.058], [0.366, 0.924, 0.763], [0.558, 0.634, 0.396], [0.942, 0.839, 0.576], [0.763, 0.339, 0.896], [0.442, 0.366, 0.604], [0.058, 0.161, 0.424], [0.237, 0.661, 0.104], [0.161, 0.104, 0.737], [0.634, 0.076, 0.237], [0.866, 0.604, 0.942], [0.576, 0.339, 0.942], [0.604, 0.866, 0.442], [0.896, 0.839, 0.763], [0.896, 0.058, 0.634], [0.866, 0.263, 0.424], [0.161, 0.058, 0.924], [0.634, 0.558, 0.896], [0.442, 0.076, 0.339], [0.263, 0.396, 0.839], [0.237, 0.576, 0.634], [0.942, 0.104, 0.866], [0.661, 0.237, 0.604], [0.424, 0.763, 0.866], [0.076, 0.442, 0.839], [0.396, 0.263, 0.339], [0.076, 0.634, 0.737], [0.661, 0.424, 0.558], [0.263, 0.866, 0.924]],
  "sg": "Ia-3d (230)"
}

{
  "formula": "PrYZr",
  "functional": "PBE-GGA",
  "state": "optimized geometry",
  "lattice": [[-2.612, 1.972, 1.029], [-2.215, -2.450, -0.926], [2.863, -2.802, 6.919]],
  "species": ["Pr", "Y", "Zr"],
  "frac_coords": [[0.990, 0.990, 0.980], [0.680, 0.680, 0.361], [0.330, 0.330, 0.659]],
  "sg": "I4mm (107)"
}

{
  "formula": "PrY2Zr",
  "functional": "PBE-GGA",
  "state": "optimized geometry",
  "lattice": [[5.563, 0.000, 0.000], [2.782, 4.818, 0.000], [2.782, 1.606, 4.542]],
  "species": ["Pr", "Y", "Y", "Zr"],
  "frac_coords": [[0.000, 0.000, 0.000], [0.250, 0.250, 0.250], [0.750, 0.750, 0.750], [0.500, 0.500, 0.500]],
  "sg": "Fm-3m (225)"
}

{
  "formula": "Pr2YZr",
  "functional": "PBE-GGA",
  "state": "optimized geometry",
  "lattice": [[4.939, 0.000, 0.000], [0.000, 5.011, 0.000], [0.000, 0.000, 5.011]],
  "species": ["Pr", "Pr", "Y", "Zr"],
  "frac_coords": [[0.000, 0.000, 0.500], [0.000, 0.500, 0.000], [0.500, 0.000, 0.000], [0.500, 0.500, 0.500]],
  "sg": "P4/mmm (123)"
}

{
  "formula": "PrYZr",
  "functional": "PBE-GGA",
  "state": "optimized geometry",
  "lattice": [[3.470, 0.000, 0.000], [-1.735, 3.005, 0.000], [0.000, 0.000, 8.562]],
  "species": ["Pr", "Y", "Zr"],
  "frac_coords": [[0.000, 0.000, 0.019], [0.333, 0.667, 0.645], [0.667, 0.333, 0.337]],
  "sg": "P3m1 (156)"
}

| no. | DOS(E_F) (states/eV per cell) | energy of formation (meV per atom) |
| --- | --- | --- |
| 1 | 6.02 | 140 |
| 2 | 147.87 | 1009 |
| 3 | 4.61 | 115 |
| 4 | 7.39 | 228 |
| 5 | 4.73 | 137 |
| 6 | 3.50 | 127 |